# 1
Entry from Alexandria via LeMat-Bulk: Tb2Y3Ge4 after structural relaxation (PBE-GGA).

Cell: 8.0065 7.8036 7.6277 Å, 90.00 112.66 90.00°
Closest atoms and distances in Å follow each position.
Positions (direct):
Tb1 0.2015 0.1790 0.0593  5 Ge 2.98-3.24
Tb2 0.2015 0.3210 0.5593  5 Ge 2.98-3.24
Tb3 0.7985 0.6790 0.4407  5 Ge 2.98-3.24
Tb4 0.7985 0.8210 0.9407  5 Ge 2.98-3.24
Y1 0.2355 0.6629 0.2242  6 Ge 2.87-3.03
Y2 0.2355 0.8371 0.7242  6 Ge 2.87-3.03
Y3 0.5000 0.0000 0.5000  6 Ge 3.03-3.05
Y4 0.5000 0.5000 0.0000  6 Ge 3.03-3.05
Y5 0.7645 0.1629 0.2758  6 Ge 2.87-3.03
Y6 0.7645 0.3371 0.7758  6 Ge 2.87-3.03
Ge1 0.0886 0.5324 0.8205  4 Y 2.87-3.05, 2 Tb 2.98-3.15
Ge2 0.0886 0.9676 0.3205  4 Y 2.87-3.05, 2 Tb 2.98-3.15
Ge3 0.4909 0.1311 0.8703  1 Ge 2.81, 5 Y 2.99-3.04, 1 Tb 2.99
Ge4 0.4909 0.3689 0.3703  1 Ge 2.81, 5 Y 2.99-3.04, 1 Tb 2.99
Ge5 0.5091 0.6311 0.6297  1 Ge 2.81, 5 Y 2.99-3.04, 1 Tb 2.99
Ge6 0.5091 0.8689 0.1297  1 Ge 2.81, 5 Y 2.99-3.04, 1 Tb 2.99
Ge7 0.9114 0.0324 0.6795  4 Y 2.87-3.05, 2 Tb 2.98-3.15
Ge8 0.9114 0.4676 0.1795  4 Y 2.87-3.05, 2 Tb 2.98-3.15

As for the formation energy: -881 meV/atom. The mass density is 6.6 g/cm³. Its crystal system is monoclinic. As for the density of states at the Fermi level: 9.9 states/eV/cell. Its space group is No. 14.

***

# 2
Entry from Alexandria via LeMat-Bulk: TbY4Ge4 after structural relaxation (PBE-GGA).

Cell: 9.1526 9.1526 5.8291 Å, 90.00 90.00 90.00°
Closest atoms and distances in Å follow each position.
Positions (direct):
Tb1 0.2500 0.2500 0.2500  4 Ge 2.88
Tb2 0.7500 0.7500 0.7500  4 Ge 2.88
Y1 0.0780 0.6565 0.1361  5 Ge 2.93-3.02
Y2 0.1565 0.9220 0.6361  5 Ge 2.93-3.02
Y3 0.3435 0.5780 0.6361  5 Ge 2.93-3.02
Y4 0.4220 0.8435 0.1361  5 Ge 2.93-3.02
Y5 0.5780 0.1565 0.8639  5 Ge 2.93-3.02
Y6 0.6565 0.4220 0.3639  5 Ge 2.93-3.02
Y7 0.8435 0.0780 0.3639  5 Ge 2.93-3.02
Y8 0.9220 0.3435 0.8639  5 Ge 2.93-3.02
Ge1 0.0265 0.6182 0.6360  1 Ge 2.73, 1 Tb 2.88, 5 Y 2.93-3.02
Ge2 0.1182 0.9735 0.1360  1 Ge 2.73, 1 Tb 2.88, 5 Y 2.93-3.02
Ge3 0.3818 0.5265 0.1360  1 Ge 2.73, 1 Tb 2.88, 5 Y 2.93-3.02
Ge4 0.4735 0.8818 0.6360  1 Ge 2.73, 1 Tb 2.88, 5 Y 2.93-3.02
Ge5 0.5265 0.1182 0.3640  1 Ge 2.73, 1 Tb 2.88, 5 Y 2.93-3.02
Ge6 0.6182 0.4735 0.8640  1 Ge 2.73, 1 Tb 2.88, 5 Y 2.93-3.02
Ge7 0.8818 0.0265 0.8640  1 Ge 2.73, 1 Tb 2.88, 5 Y 2.93-3.02
Ge8 0.9735 0.3818 0.3640  1 Ge 2.73, 1 Tb 2.88, 5 Y 2.93-3.02

As for the formation energy: -610 meV/atom. The mass density is 5.5 g/cm³. Its crystal system is tetragonal. As for the density of states at the Fermi level: 18.5 states/eV/cell. Its space group is No. 86.